DFT (PBE) results for a relaxed ScTl2Re crystal.

## Properties
- E_form (meV/atom) = 721
- polymorph energy (0 for the lowest one) (eV/atom) = 0.3416
- space-group type = No. 122
- calculated total energy (eV per atom) = -5.1575

Cell and atoms, written as POSCAR:
```
ScTl2Re
1.0
-2.095 2.095 10.329
2.095 -2.095 10.329
2.095 2.095 -10.329
Sc Tl Re
2 4 2
Cartesian
0.000 0.000 0.000
0.000 2.095 5.164
1.048 -0.993 7.747
1.103 1.048 2.582
1.048 3.088 -2.582
0.993 1.048 12.911
2.095 0.000 5.164
0.000 0.000 10.329
```

---

DFT (PBE) results for a relaxed ScTlRe2 crystal.

## Properties
- E_form (meV/atom) = 471
- polymorph energy (0 for the lowest one) (eV/atom) = 0.4072
- space-group type = No. 123
- calculated total energy (eV per atom) = -7.9272

Cell and atoms, written as POSCAR:
```
ScTlRe2
1.0
4.007 0.000 0.000
0.000 4.007 0.000
0.000 0.000 4.370
Sc Tl Re
1 1 2
Cartesian
0.000 0.000 0.000
2.004 2.004 0.000
0.000 2.004 2.185
2.004 0.000 2.185
```

---

DFT (PBE) results for a relaxed ScTl2Re crystal.

## Properties
- E_form (meV/atom) = 548
- polymorph energy (0 for the lowest one) (eV/atom) = 0.1687
- space-group type = No. 47
- calculated total energy (eV per atom) = -5.3304

Cell and atoms, written as POSCAR:
```
ScTl2Re
1.0
3.002 0.000 0.000
0.000 4.439 0.000
0.000 0.000 6.130
Sc Tl Re
1 2 1
Cartesian
0.000 0.000 0.000
1.501 2.220 1.594
1.501 2.220 4.536
0.000 0.000 3.065
```

---

DFT (PBE) results for a relaxed ScTlRe4 crystal.

## Properties
- E_form (meV/atom) = 247
- space-group type = No. 216
- calculated total energy (eV per atom) = -9.5016

Cell and atoms, written as POSCAR:
```
ScTlRe4
1.0
0.000 3.753 3.753
3.753 0.000 3.753
3.753 3.753 0.000
Sc Tl Re
1 1 4
Cartesian
0.000 0.000 0.000
5.629 5.629 5.629
2.816 2.816 2.816
4.689 4.689 2.816
4.689 2.816 4.689
2.816 4.689 4.689
```

---

DFT (PBE) results for a relaxed ScTlRe2 crystal.

## Properties
- E_form (meV/atom) = 1210
- polymorph energy (0 for the lowest one) (eV/atom) = 1.1458
- space-group type = No. 122
- calculated total energy (eV per atom) = -7.1886

Cell and atoms, written as POSCAR:
```
ScTlRe2
1.0
-3.806 3.806 2.729
3.806 -3.806 2.729
3.806 3.806 -2.729
Sc Tl Re
2 2 4
Cartesian
0.000 0.000 0.000
0.000 3.806 1.365
3.806 0.000 1.365
0.000 0.000 2.729
1.903 1.905 -0.682
5.707 1.903 0.682
1.903 1.901 2.047
-1.901 1.903 3.411
```

---

DFT (PBE) results for a relaxed ScTlRe2 crystal.

## Properties
- E_form (meV/atom) = 439
- polymorph energy (0 for the lowest one) (eV/atom) = 0.3745
- space-group type = No. 10
- calculated total energy (eV per atom) = -7.9598

Cell and atoms, written as POSCAR:
```
ScTlRe2
1.0
2.935 0.000 0.000
0.000 4.595 0.000
-1.251 0.000 5.733
Sc Tl Re
1 1 2
Cartesian
0.000 0.000 0.000
0.842 0.000 2.866
0.158 2.298 4.578
1.526 2.298 1.155
```

---

DFT (PBE) results for a relaxed ScTlRe crystal.

## Properties
- E_form (meV/atom) = 387
- polymorph energy (0 for the lowest one) (eV/atom) = 0.1039
- space-group type = No. 156
- calculated total energy (eV per atom) = -6.6615

Cell and atoms, written as POSCAR:
```
ScTlRe
1.0
4.851 0.000 0.000
-2.426 4.201 0.000
0.000 0.000 2.882
Sc Tl Re
1 1 1
Cartesian
0.000 0.000 0.000
0.000 2.801 1.475
2.426 1.400 1.400
```

---

DFT (PBE) results for a relaxed ScTl2Re crystal.

## Properties
- E_form (meV/atom) = 563
- polymorph energy (0 for the lowest one) (eV/atom) = 0.1839
- space-group type = No. 123
- calculated total energy (eV per atom) = -5.3152

Cell and atoms, written as POSCAR:
```
ScTl2Re
1.0
3.624 0.000 0.000
0.000 3.624 0.000
0.000 0.000 6.244
Sc Tl Re
1 2 1
Cartesian
0.000 0.000 0.000
1.812 1.812 1.641
1.812 1.812 4.602
0.000 0.000 3.122
```

---

DFT (PBE) results for a relaxed ScTlRe2 crystal.

## Properties
- E_form (meV/atom) = 676
- polymorph energy (0 for the lowest one) (eV/atom) = 0.6123
- space-group type = No. 65
- calculated total energy (eV per atom) = -7.7221

Cell and atoms, written as POSCAR:
```
ScTlRe2
1.0
2.795 -4.170 0.000
2.795 4.170 0.000
0.000 0.000 3.073
Sc Tl Re
1 1 2
Cartesian
0.000 0.000 0.000
2.795 0.000 0.000
1.397 2.085 1.537
1.397 -2.085 1.537
```

---

DFT (PBE) results for a relaxed ScTlRe2 crystal.

## Properties
- E_form (meV/atom) = 737
- polymorph energy (0 for the lowest one) (eV/atom) = 0.6729
- space-group type = No. 123
- calculated total energy (eV per atom) = -7.6615

Cell and atoms, written as POSCAR:
```
ScTlRe2
1.0
2.821 0.000 0.000
0.000 2.821 0.000
0.000 0.000 9.213
Sc Tl Re
1 1 2
Cartesian
0.000 0.000 0.000
0.000 0.000 4.607
1.410 1.410 2.203
1.410 1.410 7.010
```

---

DFT (PBE) results for a relaxed ScTl2Re crystal.

## Properties
- E_form (meV/atom) = 415
- polymorph energy (0 for the lowest one) (eV/atom) = 0.0360
- space-group type = No. 160
- calculated total energy (eV per atom) = -5.4631

Cell and atoms, written as POSCAR:
```
ScTl2Re
1.0
1.633 0.943 9.890
-1.633 0.943 9.890
0.000 -1.885 9.890
Sc Tl Re
1 2 1
Cartesian
0.000 0.000 0.000
0.000 0.000 7.131
0.000 0.000 14.081
0.000 0.000 21.667
```

---

DFT (PBE) results for a relaxed ScTl2Re crystal.

## Properties
- E_form (meV/atom) = 409
- polymorph energy (0 for the lowest one) (eV/atom) = 0.0302
- space-group type = No. 35
- calculated total energy (eV per atom) = -5.4688

Cell and atoms, written as POSCAR:
```
ScTl2Re
1.0
1.796 -2.519 0.000
1.796 2.519 0.000
0.000 0.000 9.924
Sc Tl Re
1 2 1
Cartesian
0.000 0.000 0.000
0.000 0.000 4.292
1.796 0.000 7.230
1.796 0.000 1.922
```

---

What is the E_form in the eighth record?
563 meV/atom

---

What is the formula in the sixth record?
ScTlRe2

---

Repeat the first record exactly.
DFT (PBE) results for a relaxed ScTl2Re crystal.

## Properties
- E_form (meV/atom) = 721
- polymorph energy (0 for the lowest one) (eV/atom) = 0.3416
- space-group type = No. 122
- calculated total energy (eV per atom) = -5.1575

Cell and atoms, written as POSCAR:
```
ScTl2Re
1.0
-2.095 2.095 10.329
2.095 -2.095 10.329
2.095 2.095 -10.329
Sc Tl Re
2 4 2
Cartesian
0.000 0.000 0.000
0.000 2.095 5.164
1.048 -0.993 7.747
1.103 1.048 2.582
1.048 3.088 -2.582
0.993 1.048 12.911
2.095 0.000 5.164
0.000 0.000 10.329
```